Material: Ir3RhAu
Method: DFT, PBE
State: optimized geometry

Uncorrected energy, eV per atom: -5.46
Symmetry: Pm-3m (221)
Magnetic moment, μB/f.u.: 0.02
Calculated formation energy, eV per atom: 1.986

Cell: 4.6973 4.6973 4.6973 Å, 90.00 90.00 90.00°
Atoms (fractional coordinates):
Ir1 0.0000 0.0000 0.5000
Ir2 0.0000 0.5000 0.0000
Ir3 0.5000 0.0000 0.0000
Rh1 0.0000 0.0000 0.0000
Au1 0.5000 0.5000 0.5000

=====

Material: IrRh2Au
Method: DFT, PBE
State: optimized geometry

Uncorrected energy, eV per atom: -6.64
Symmetry: P4/mmm (123)
Magnetic moment, μB/f.u.: 0.00
Calculated formation energy, eV per atom: 0.066

Cell: 2.7743 2.7743 7.9079 Å, 90.00 90.00 90.00°
Atoms (fractional coordinates):
Ir1 0.0000 0.0000 0.0000
Rh1 0.5000 0.5000 0.2319
Rh2 0.5000 0.5000 0.7681
Au1 0.0000 0.0000 0.5000

=====

Material: IrRh2Au
Method: DFT, PBE
State: optimized geometry

Uncorrected energy, eV per atom: -6.52
Symmetry: Cm (8)
Magnetic moment, μB/f.u.: 0.00
Calculated formation energy, eV per atom: 0.188

Cell: 9.1832 2.7874 4.8227 Å, 90.00 100.37 90.00°
Atoms (fractional coordinates):
Ir1 0.0000 0.0000 0.0000
Ir2 0.5000 0.5000 0.0000
Rh1 0.2412 0.5000 0.2253
Rh2 0.4888 0.0000 0.4761
Rh3 0.7412 0.0000 0.2253
Rh4 0.9888 0.5000 0.4761
Au1 0.2450 0.0000 0.7293
Au2 0.7450 0.5000 0.7293

=====

Material: Ir2RhAu
Method: DFT, PBE
State: optimized geometry

Uncorrected energy, eV per atom: -6.86
Symmetry: P4/mmm (123)
Magnetic moment, μB/f.u.: 0.00
Calculated formation energy, eV per atom: 0.226

Cell: 2.7730 2.7730 7.9568 Å, 90.00 90.00 90.00°
Atoms (fractional coordinates):
Ir1 0.0000 0.0000 0.2324
Ir2 0.0000 0.0000 0.7676
Rh1 0.5000 0.5000 0.0000
Au1 0.5000 0.5000 0.5000

=====

Material: Ir2RhAu
Method: DFT, PBE
State: optimized geometry

Uncorrected energy, eV per atom: -6.75
Symmetry: Imm2 (44)
Magnetic moment, μB/f.u.: 0.00
Calculated formation energy, eV per atom: 0.337

Cell: 2.7399 4.7275 9.6848 Å, 90.00 90.00 90.00°
Atoms (fractional coordinates):
Ir1 0.0000 0.0000 0.0000
Ir2 0.0000 0.5000 0.2712
Ir3 0.5000 0.0000 0.7712
Ir4 0.5000 0.5000 0.5000
Rh1 0.0000 0.0000 0.5326
Rh2 0.5000 0.5000 0.0326
Au1 0.0000 0.5000 0.7633
Au2 0.5000 0.0000 0.2633

=====

Material: IrRhAu3
Method: DFT, PBE
State: optimized geometry

Uncorrected energy, eV per atom: -3.71
Symmetry: Pm-3m (221)
Magnetic moment, μB/f.u.: 2.75
Calculated formation energy, eV per atom: 1.503

Cell: 4.9831 4.9831 4.9831 Å, 90.00 90.00 90.00°
Atoms (fractional coordinates):
Ir1 0.0000 0.0000 0.0000
Rh1 0.5000 0.5000 0.5000
Au1 0.0000 0.0000 0.5000
Au2 0.0000 0.5000 0.0000
Au3 0.5000 0.0000 0.0000

=====

Material: IrRh2Au
Method: DFT, PBE
State: optimized geometry

Uncorrected energy, eV per atom: -6.51
Symmetry: I4/mmm (139)
Magnetic moment, μB/f.u.: 0.00
Calculated formation energy, eV per atom: 0.197

Cell: 3.9278 3.9278 7.8338 Å, 90.00 90.00 90.00°
Atoms (fractional coordinates):
Ir1 0.0000 0.0000 0.0000
Ir2 0.5000 0.5000 0.5000
Rh1 0.0000 0.5000 0.2500
Rh2 0.0000 0.5000 0.7500
Rh3 0.5000 0.0000 0.2500
Rh4 0.5000 0.0000 0.7500
Au1 0.0000 0.0000 0.5000
Au2 0.5000 0.5000 0.0000

=====

Material: Ir2RhAu
Method: DFT, PBE
State: optimized geometry

Uncorrected energy, eV per atom: -6.74
Symmetry: Cmmm (65)
Magnetic moment, μB/f.u.: 0.00
Calculated formation energy, eV per atom: 0.348

Cell: 2.7314 4.7724 9.5760 Å, 90.00 90.00 90.00°
Atoms (fractional coordinates):
Ir1 0.0000 0.0000 0.2386
Ir2 0.0000 0.0000 0.7614
Ir3 0.5000 0.5000 0.2386
Ir4 0.5000 0.5000 0.7614
Rh1 0.0000 0.5000 0.0000
Rh2 0.5000 0.0000 0.0000
Au1 0.0000 0.5000 0.5000
Au2 0.5000 0.0000 0.5000

=====

Material: IrRh2Au
Method: DFT, PBE
State: optimized geometry

Uncorrected energy, eV per atom: -6.51
Symmetry: Cmmm (65)
Magnetic moment, μB/f.u.: 0.00
Calculated formation energy, eV per atom: 0.204

Cell: 5.5647 7.7950 2.7914 Å, 90.00 90.00 90.00°
Atoms (fractional coordinates):
Ir1 0.0000 0.0000 0.0000
Ir2 0.5000 0.5000 0.0000
Rh1 0.2500 0.2500 0.5000
Rh2 0.2500 0.7500 0.5000
Rh3 0.7500 0.2500 0.5000
Rh4 0.7500 0.7500 0.5000
Au1 0.0000 0.5000 0.0000
Au2 0.5000 0.0000 0.0000

=====

Material: IrRh2Au
Method: DFT, PBE
State: optimized geometry

Uncorrected energy, eV per atom: -6.49
Symmetry: I-4m2 (119)
Magnetic moment, μB/f.u.: 0.00
Calculated formation energy, eV per atom: 0.217

Cell: 3.9270 3.9270 7.8543 Å, 90.00 90.00 90.00°
Atoms (fractional coordinates):
Ir1 0.0000 0.0000 0.0000
Ir2 0.5000 0.5000 0.5000
Rh1 0.0000 0.0000 0.5000
Rh2 0.0000 0.5000 0.7500
Rh3 0.5000 0.0000 0.2500
Rh4 0.5000 0.5000 0.0000
Au1 0.0000 0.5000 0.2500
Au2 0.5000 0.0000 0.7500

=====

Material: IrRh2Au
Method: DFT, PBE
State: optimized geometry

Uncorrected energy, eV per atom: -6.29
Symmetry: Fm-3m (225)
Magnetic moment, μB/f.u.: 1.24
Calculated formation energy, eV per atom: 0.424

Cell: 6.2827 6.2827 6.2827 Å, 90.00 90.00 90.00°
Atoms (fractional coordinates):
Ir1 0.0000 0.0000 0.0000
Ir2 0.0000 0.5000 0.5000
Ir3 0.5000 0.0000 0.5000
Ir4 0.5000 0.5000 0.0000
Rh1 0.2500 0.2500 0.2500
Rh2 0.2500 0.2500 0.7500
Rh3 0.2500 0.7500 0.2500
Rh4 0.2500 0.7500 0.7500
Rh5 0.7500 0.2500 0.2500
Rh6 0.7500 0.2500 0.7500
Rh7 0.7500 0.7500 0.2500
Rh8 0.7500 0.7500 0.7500
Au1 0.0000 0.0000 0.5000
Au2 0.0000 0.5000 0.0000
Au3 0.5000 0.0000 0.0000
Au4 0.5000 0.5000 0.5000

=====

Material: IrRh2Au
Method: DFT, PBE
State: optimized geometry

Uncorrected energy, eV per atom: -6.45
Symmetry: P4/mmm (123)
Magnetic moment, μB/f.u.: 0.40
Calculated formation energy, eV per atom: 0.262

Cell: 3.9298 3.9298 3.9268 Å, 90.00 90.00 90.00°
Atoms (fractional coordinates):
Ir1 0.0000 0.0000 0.0000
Rh1 0.0000 0.5000 0.5000
Rh2 0.5000 0.0000 0.5000
Au1 0.5000 0.5000 0.0000

=====

Material: IrRh2Au
Method: DFT, PBE
State: optimized geometry

Uncorrected energy, eV per atom: -6.11
Symmetry: I-42d (122)
Magnetic moment, μB/f.u.: 0.00
Calculated formation energy, eV per atom: 0.597

Cell: 7.0624 7.0624 5.4253 Å, 90.00 90.00 90.00°
Atoms (fractional coordinates):
Ir1 0.0000 0.0000 0.0000
Ir2 0.0000 0.5000 0.2500
Ir3 0.5000 0.0000 0.7500
Ir4 0.5000 0.5000 0.5000
Rh1 0.2249 0.2500 0.1250
Rh2 0.2500 0.7249 0.3750
Rh3 0.2500 0.7751 0.8750
Rh4 0.2751 0.2500 0.6250
Rh5 0.7249 0.7500 0.6250
Rh6 0.7500 0.2249 0.8750
Rh7 0.7500 0.2751 0.3750
Rh8 0.7751 0.7500 0.1250
Au1 0.0000 0.0000 0.5000
Au2 0.0000 0.5000 0.7500
Au3 0.5000 0.0000 0.2500
Au4 0.5000 0.5000 0.0000

=====

Material: Ir2RhAu
Method: DFT, PBE
State: optimized geometry

Uncorrected energy, eV per atom: -6.89
Symmetry: Pmm2 (25)
Magnetic moment, μB/f.u.: 0.00
Calculated formation energy, eV per atom: 0.199

Cell: 2.7834 3.8363 5.7291 Å, 90.00 90.00 90.00°
Atoms (fractional coordinates):
Ir1 0.0000 0.0000 0.0000
Ir2 0.5000 0.5000 0.2233
Rh1 0.0000 0.0000 0.4652
Au1 0.5000 0.5000 0.7265

=====

Material: IrRhAu3
Method: DFT, PBE
State: optimized geometry

Uncorrected energy, eV per atom: -3.45
Symmetry: Pm-3m (221)
Magnetic moment, μB/f.u.: 2.60
Calculated formation energy, eV per atom: 1.755

Cell: 4.9056 4.9056 4.9056 Å, 90.00 90.00 90.00°
Atoms (fractional coordinates):
Ir1 0.0000 0.0000 0.0000
Rh1 0.5000 0.5000 0.5000
Au1 0.0000 0.5000 0.5000
Au2 0.5000 0.0000 0.5000
Au3 0.5000 0.5000 0.0000

=====

Number 1: offset from the most stable computed form 0.0 meV per atom. Number 2: offset from the most stable computed form 0.0 meV per atom. Number 3: offset from the most stable computed form 122.2 meV per atom. Number 4: offset from the most stable computed form 97.3 meV per atom. Number 5: offset from the most stable computed form 208.4 meV per atom. Number 6: offset from the most stable computed form 0.0 meV per atom. Number 7: offset from the most stable computed form 131.8 meV per atom. Number 8: offset from the most stable computed form 219.2 meV per atom. Number 9: offset from the most stable computed form 138.3 meV per atom. Number 10: offset from the most stable computed form 151.2 meV per atom. Number 11: offset from the most stable computed form 358.0 meV per atom. Number 12: offset from the most stable computed form 195.9 meV per atom. Number 13: offset from the most stable computed form 531.7 meV per atom. Number 14: offset from the most stable computed form 69.9 meV per atom. Number 15: offset from the most stable computed form 252.1 meV per atom.